This record from the Alexandria database describes an optimized crystal structure of NaGa2TcSb. The functional is PBE.

Output
Calculated density = 5.070 g/cm³
Symmetry = P4/mmm, No. 123
DOS(E_F) = 0.612 states/eV/atom
Crystal system = tetragonal
Spin magnetization = 0.00 μB per formula unit
Raw formation energy = -0.1 eV/f.u.
Electronic total energy = -22.00 eV for the cell shown

abc: 4.910 4.910 5.193
angles: 90.00 90.00 90.00
Atoms (fractional coordinates):
Na (0.000, 0.000, 0.000)
Ga (0.000, 0.500, 0.500)
Ga (0.500, 0.000, 0.500)
Tc (0.500, 0.500, 0.500)
Sb (0.500, 0.500, 0.000)



This record from the Alexandria database describes an optimized crystal structure of PuZn4Co. The functional is PBE.

Output
Calculated density = 9.601 g/cm³
Symmetry = F-43m, No. 216
DOS(E_F) = 1.720 states/eV/atom
Energy of formation = 0.026 eV/atom
Crystal system = cubic
Spin magnetization = 4.75 μB per formula unit
Electronic total energy = -26.38 eV for the cell shown

abc: 5.169 5.169 5.169
angles: 60.00 60.00 60.00
Atoms (fractional coordinates):
Pu (0.000, 0.000, 0.000)
Zn (0.376, 0.376, 0.376)
Zn (0.376, 0.376, 0.871)
Zn (0.376, 0.871, 0.376)
Zn (0.871, 0.376, 0.376)
Co (0.750, 0.750, 0.750)



This record from the Alexandria database describes an optimized crystal structure of Y2FeNi. The functional is PBE.

Output
Calculated density = 5.718 g/cm³
Symmetry = C2/m, No. 12
DOS(E_F) = 1.076 states/eV/atom
Energy of formation = 0.199 eV/atom
Crystal system = monoclinic
Spin magnetization = 1.71 μB per formula unit
Electronic total energy = -26.38 eV for the cell shown

abc: 3.777 3.777 7.654
angles: 98.95 98.95 52.14
Atoms (fractional coordinates):
Y (0.245, 0.245, 0.240)
Y (0.755, 0.755, 0.760)
Fe (0.000, 0.000, 0.500)
Ni (0.500, 0.500, 0.000)



This record from the Alexandria database describes an optimized crystal structure of NbTcHOs2. The functional is PBE.

Output
Calculated density = 15.067 g/cm³
Symmetry = P4/mmm, No. 123
DOS(E_F) = 0.987 states/eV/atom
Crystal system = tetragonal
Spin magnetization = 0.00 μB per formula unit
Electronic total energy = -46.29 eV for the cell shown

abc: 3.972 3.972 3.998
angles: 90.00 90.00 90.00
Atoms (fractional coordinates):
Nb (0.000, 0.000, 0.000)
Tc (0.500, 0.500, 0.000)
H (0.500, 0.500, 0.500)
Os (0.000, 0.500, 0.500)
Os (0.500, 0.000, 0.500)



This record from the Alexandria database describes an optimized crystal structure of ScUSe3. The functional is PBE.

Output
Calculated density = 6.103 g/cm³
Symmetry = Cmc2_1, No. 36
DOS(E_F) = 1.334 states/eV/atom
Crystal system = orthorhombic
Spin magnetization = 3.01 μB per formula unit
Raw formation energy = -6.6 eV/f.u.
Electronic total energy = -69.29 eV for the cell shown

abc: 10.336 10.336 6.972
angles: 90.00 90.00 157.68
Atoms (fractional coordinates):
Sc (0.162, 0.838, 0.500)
Sc (0.838, 0.162, 0.000)
U (0.340, 0.660, 0.499)
U (0.660, 0.340, 0.999)
Se (0.088, 0.912, 0.185)
Se (0.251, 0.749, 0.831)
Se (0.406, 0.594, 0.150)
Se (0.594, 0.406, 0.650)
Se (0.749, 0.251, 0.331)
Se (0.912, 0.088, 0.685)



This record from the Alexandria database describes an optimized crystal structure of CaTc3Rh. The functional is PBE.

Output
Calculated density = 8.061 g/cm³
Symmetry = Pm-3m, No. 221
DOS(E_F) = 1.829 states/eV/atom
Energy of formation = 2.589 eV/atom
Crystal system = cubic
Spin magnetization = 0.00 μB per formula unit
Electronic total energy = -27.51 eV for the cell shown

abc: 4.482 4.482 4.482
angles: 90.00 90.00 90.00
Atoms (fractional coordinates):
Ca (0.000, 0.000, 0.000)
Tc (0.000, 0.000, 0.500)
Tc (0.000, 0.500, 0.000)
Tc (0.500, 0.000, 0.000)
Rh (0.500, 0.500, 0.500)